SmTlB4: relaxed, PBE.

Unit cell a=5.3549 b=5.3549 c=5.3549 alpha=144.68 beta=119.65 gamma=71.90
With the nearest neighbours (Å) after each atom.
Sites, in units of the cell vectors:
1 Sm 0.0000 0.0000 0.0000  12 B 2.80-2.86
2 Tl 0.5000 0.5000 0.0000  12 B 2.71-2.94
3 B 0.0644 0.7395 0.3249  3 B 1.82-1.89
4 B 0.4146 0.7395 0.6751  3 B 1.82-1.89
5 B 0.5854 0.2605 0.3249  3 B 1.82-1.89
6 B 0.9356 0.2605 0.6751  3 B 1.82-1.89


Zn2Cd2As: relaxed, PBE.

Unit cell a=7.9791 b=7.9791 c=7.9791 alpha=140.60 beta=140.60 gamma=56.95
With the nearest neighbours (Å) after each atom.
Sites, in units of the cell vectors:
1 Zn 0.0000 0.0000 0.0000  2 Zn 2.69, 2 Cd 2.82
2 Zn 0.0000 0.0000 0.5000  2 Zn 2.69, 2 Cd 2.82
3 Zn 0.0000 0.5000 0.0000  2 Zn 2.69, 2 Cd 2.82
4 Zn 0.5000 0.0000 0.5000  2 Zn 2.69, 2 Cd 2.82
5 Cd 0.1768 0.4268 0.7500  3 As 2.78-2.79, 2 Zn 2.82
6 Cd 0.4268 0.1768 0.2500  3 As 2.78-2.79, 2 Zn 2.82
7 Cd 0.5732 0.8232 0.7500  3 As 2.78-2.79, 2 Zn 2.82
8 Cd 0.8232 0.5732 0.2500  3 As 2.78-2.79, 2 Zn 2.82
9 As 0.3750 0.6250 0.7500  6 Cd 2.78-2.79
10 As 0.6250 0.3750 0.2500  6 Cd 2.78-2.79


HfZr2Be: relaxed, PBE.

Unit cell a=4.7771 b=4.7771 c=4.7771 alpha=60.00 beta=60.00 gamma=60.00
With the nearest neighbours (Å) after each atom.
Sites, in units of the cell vectors:
1 Hf 0.0000 0.0000 0.0000  4 Zr 2.93, 4 Be 2.93
2 Zr 0.2500 0.2500 0.2500  4 Hf 2.93, 4 Zr 2.93
3 Zr 0.5000 0.5000 0.5000  4 Zr 2.93, 4 Be 2.93
4 Be 0.7500 0.7500 0.7500  4 Zr 2.93, 4 Hf 2.93


YScBePt: relaxed, PBE.

Unit cell a=4.7610 b=4.7610 c=4.7610 alpha=60.00 beta=60.00 gamma=60.00
With the nearest neighbours (Å) after each atom.
Sites, in units of the cell vectors:
1 Y 0.0000 0.0000 0.0000  4 Be 2.92, 4 Pt 2.92
2 Sc 0.5000 0.5000 0.5000  4 Be 2.92, 4 Pt 2.92
3 Be 0.7500 0.7500 0.7500  4 Sc 2.92, 4 Y 2.92
4 Pt 0.2500 0.2500 0.2500  4 Sc 2.92, 4 Y 2.92


UBOs: relaxed, PBE.

Unit cell a=4.2641 b=4.2641 c=4.2641 alpha=60.00 beta=60.00 gamma=60.00
With the nearest neighbours (Å) after each atom.
Sites, in units of the cell vectors:
1 U 0.0000 0.0000 0.0000  4 Os 2.61
2 B 0.5000 0.5000 0.5000  4 Os 2.61
3 Os 0.7500 0.7500 0.7500  4 U 2.61, 4 B 2.61


YTmGa4Ni2: relaxed, PBE.

Unit cell a=6.6498 b=5.4142 c=5.4142 alpha=44.61 beta=90.00 gamma=90.00
With the nearest neighbours (Å) after each atom.
Sites, in units of the cell vectors:
1 Y 0.0000 0.0000 0.0000  3 Ni 2.82-3.00, 6 Ga 2.98-3.14
2 Tm 0.5000 0.1431 0.1431  3 Ni 2.82-3.00, 6 Ga 2.96-3.12
3 Ga 0.1976 0.7150 0.7150  3 Ni 2.49-2.53, 1 Ga 2.63
4 Ga 0.3045 0.4266 0.4266  3 Ni 2.49-2.52, 1 Ga 2.60
5 Ga 0.6955 0.4266 0.4266  3 Ni 2.49-2.52, 1 Ga 2.60
6 Ga 0.8024 0.7150 0.7150  3 Ni 2.49-2.53, 1 Ga 2.63
7 Ni 0.0000 0.2815 0.2815  6 Ga 2.49-2.53
8 Ni 0.5000 0.8616 0.8616  6 Ga 2.49-2.52


| no. | DFT total energy (eV/atom) |
| --- | --- |
| 1 | -5.553 |
| 2 | -1.624 |
| 3 | -7.454 |
| 4 | -6.210 |
| 5 | -8.928 |
| 6 | -4.931 |